1.
# H2RhI

A relaxed structure of H2RhI (PBE, Alexandria).

Computed properties:
The total energy is -28.17 eV/cell.

Cell lengths 5.441, 5.441, 5.470 Å; angles 60.17, 60.17, 90.00 degrees
Atoms (fractional coordinates):
I: 0.000 0.000 0.000
I: 0.750 0.250 0.500
H: 0.378 0.125 0.250
H: 0.372 0.625 0.250
H: 0.375 0.622 0.750
H: 0.875 0.628 0.750
Rh: 0.500 0.500 0.000
Rh: 0.250 0.750 0.500

=====

2.
# Ac5PdAu2N

A relaxed structure of Ac5PdAu2N (PBE, Alexandria).

Computed properties:
The total energy is -95.13 eV/cell. The calculation puts the raw formation energy at -0.772 eV per atom.

Cell lengths 4.307, 9.857, 13.854 Å; angles 90.00, 90.00, 102.62 degrees
Atoms (fractional coordinates):
Ac: 0.357 0.714 0.011
Ac: 0.678 0.355 0.875
Ac: 0.493 0.987 0.772
Ac: 0.289 0.578 0.682
Ac: 0.963 0.926 0.510
Ac: 0.643 0.286 0.511
Ac: 0.322 0.645 0.375
Ac: 0.507 0.013 0.272
Ac: 0.711 0.422 0.182
Ac: 0.037 0.074 0.010
Pd: 0.799 0.598 0.530
Pd: 0.201 0.402 0.030
Au: 0.869 0.739 0.832
Au: 0.114 0.228 0.687
Au: 0.131 0.261 0.332
Au: 0.886 0.772 0.187
N: 0.553 0.105 0.924
N: 0.447 0.895 0.424

=====

3.
# SrGaB

A relaxed structure of SrGaB (PBE, Alexandria).

Computed properties:
The total energy is -23.44 eV/cell. The value obtained for the calculated formation energy is -10.73 kJ/mol of atoms.

Cell lengths 6.116, 3.750, 6.116 Å; angles 107.84, 101.49, 107.84 degrees
Atoms (fractional coordinates):
Sr: 0.239 0.132 0.262
Sr: 0.743 0.132 0.757
B: 0.115 0.755 0.633
B: 0.868 0.509 0.386
Ga: 0.300 0.440 0.818
Ga: 0.683 0.824 0.201

=====

no.,DOS at the Fermi energy (states/eV/cell)
1,4.97
2,14.74
3,2.84